No. 1
DFT (PBE) results for a relaxed Ti3PC crystal.

Cell lengths 3.370, 5.302, 7.427 Å; angles 90.00, 90.00, 90.00 degrees
Element x y z (fractional)
Ti 0.250 0.502 0.348
C 0.750 0.750 0.402
Ti 0.750 0.750 0.079
Ti 0.250 0.250 0.921
Ti 0.750 0.498 0.652
C 0.250 0.250 0.598
Ti 0.250 0.998 0.348
Ti 0.750 0.002 0.652
P 0.250 0.750 0.842
P 0.750 0.250 0.158

Output
The calculation puts the formation energy from the elements at -0.861 eV/atom. The calculation puts the total moment at 0.000 μB/cell.


No. 2
DFT (PBE) results for a relaxed TiP2C crystal.

Cell lengths 5.487, 5.487, 5.322 Å; angles 58.97, 58.97, 90.00 degrees
Element x y z (fractional)
C 0.500 0.500 0.000
P 0.875 0.786 0.750
C 0.250 0.750 0.500
P 0.375 0.464 0.750
Ti 0.000 0.000 0.000
P 0.214 0.625 0.250
Ti 0.750 0.250 0.500
P 0.536 0.125 0.250

Output
The calculation puts the formation energy from the elements at 0.107 eV/atom. The calculation puts the total moment at 0.000 μB/cell.